First-principles (PBE) data for LiHoAl2Cu4 after structural relaxation, as listed in Alexandria.

Structure (extended XYZ):
```
8
Lattice="-1.985 -3.081 -2.106 -0.299 -3.862 1.691 -7.540 -0.289 3.287" Properties=species:S:1:pos:R:3 pbc="T T T"
Cu -2.880 -4.223 0.409
Cu -4.926 -1.070 1.966
Al -2.645 -1.752 0.813
Li -4.912 -3.616 1.436
Cu -6.944 -3.009 2.463
Cu -4.898 -6.163 0.906
Ho 0.000 0.000 0.000
Al -7.179 -5.481 2.059
```

**Final energy**: -4.066 eV/atom
**Size of the total moment**: 0.00 μB per cell
**ΔE_f**: -0.27 eV/atom
**Space-group type**: No. 166